Entry 1:
Below is an optimized crystal structure of SmYHoCu, with properties calculated at the PBE-GGA level.

The structure in CIF format:
```
data_SmYHoCu
_chemical_formula_sum 'Sm1 Y1 Ho1 Cu1'
_symmetry_space_group_name_H-M 'P 1'
_symmetry_Int_Tables_number 1
_cell_length_a 3.5076
_cell_length_b 3.5076
_cell_length_c 8.7288
_cell_angle_alpha 90.00
_cell_angle_beta 90.00
_cell_angle_gamma 90.00
loop_
_symmetry_equiv_pos_as_xyz
'x,y,z'
loop_
_atom_site_label
_atom_site_fract_x
_atom_site_fract_y
_atom_site_fract_z
Sm1 0.0000 0.0000 0.0744
Y1 0.5000 0.5000 0.7663
Ho1 0.5000 0.5000 0.3780
Cu1 0.0000 0.0000 0.5659
```

Summary:
The symmetry is No. 99.

***

Entry 2:
Below is an optimized crystal structure of SmHoZnCu, with properties calculated at the PBE-GGA level.

The structure in CIF format:
```
data_SmHoZnCu
_chemical_formula_sum 'Sm1 Ho1 Zn1 Cu1'
_symmetry_space_group_name_H-M 'P 1'
_symmetry_Int_Tables_number 1
_cell_length_a 5.0198
_cell_length_b 5.0198
_cell_length_c 5.0198
_cell_angle_alpha 60.00
_cell_angle_beta 60.00
_cell_angle_gamma 60.00
loop_
_symmetry_equiv_pos_as_xyz
'x,y,z'
loop_
_atom_site_label
_atom_site_fract_x
_atom_site_fract_y
_atom_site_fract_z
Zn1 0.7500 0.7500 0.7500
Cu1 0.2500 0.2500 0.2500
Ho1 0.0000 0.0000 0.0000
Sm1 0.5000 0.5000 0.5000
```

Summary:
The symmetry is No. 216.

***

Entry 3:
Below is an optimized crystal structure of SmHoZnCu, with properties calculated at the PBE-GGA level.

The structure in CIF format:
```
data_SmHoZnCu
_chemical_formula_sum 'Sm1 Ho1 Zn1 Cu1'
_symmetry_space_group_name_H-M 'P 1'
_symmetry_Int_Tables_number 1
_cell_length_a 3.5387
_cell_length_b 3.5387
_cell_length_c 7.1356
_cell_angle_alpha 90.00
_cell_angle_beta 90.00
_cell_angle_gamma 90.00
loop_
_symmetry_equiv_pos_as_xyz
'x,y,z'
loop_
_atom_site_label
_atom_site_fract_x
_atom_site_fract_y
_atom_site_fract_z
Sm1 0.5000 0.5000 0.1113
Ho1 0.5000 0.5000 0.5983
Zn1 0.0000 0.0000 0.8445
Cu1 0.0000 0.0000 0.3739
```

Summary:
The symmetry is No. 99.

***

Entry 4:
Below is an optimized crystal structure of Ho8Cu2Sn, with properties calculated at the PBE-GGA level.

The structure in CIF format:
```
data_Ho8Cu2Sn
_chemical_formula_sum 'Ho8 Cu2 Sn1'
_symmetry_space_group_name_H-M 'P 1'
_symmetry_Int_Tables_number 1
_cell_length_a 5.3121
_cell_length_b 7.9991
_cell_length_c 7.9991
_cell_angle_alpha 114.05
_cell_angle_beta 98.50
_cell_angle_gamma 98.50
loop_
_symmetry_equiv_pos_as_xyz
'x,y,z'
loop_
_atom_site_label
_atom_site_fract_x
_atom_site_fract_y
_atom_site_fract_z
Ho1 0.9093 0.9202 0.6700
Ho2 0.9093 0.6700 0.9202
Ho3 0.3037 0.6071 0.6071
Ho4 0.5000 0.7579 0.2421
Ho5 0.5000 0.2421 0.7579
Ho6 0.6963 0.3929 0.3929
Ho7 0.0907 0.3300 0.0798
Ho8 0.0907 0.0798 0.3300
Cu1 0.0000 0.3080 0.6920
Cu2 0.0000 0.6920 0.3080
Sn1 0.5000 0.0000 0.0000
```

Summary:
The symmetry is No. 12.

***

Entry 5:
Below is an optimized crystal structure of Ho3CuSn3, with properties calculated at the PBE-GGA level.

The structure in CIF format:
```
data_Ho3CuSn3
_chemical_formula_sum 'Ho6 Cu2 Sn6'
_symmetry_space_group_name_H-M 'P 1'
_symmetry_Int_Tables_number 1
_cell_length_a 4.4574
_cell_length_b 6.0165
_cell_length_c 14.1335
_cell_angle_alpha 83.94
_cell_angle_beta 80.93
_cell_angle_gamma 68.26
loop_
_symmetry_equiv_pos_as_xyz
'x,y,z'
loop_
_atom_site_label
_atom_site_fract_x
_atom_site_fract_y
_atom_site_fract_z
Ho1 0.5290 0.3255 0.6166
Ho2 0.4710 0.6745 0.3834
Ho3 0.2622 0.2454 0.2302
Ho4 0.7378 0.7546 0.7698
Ho5 0.4045 0.2704 0.9206
Ho6 0.5955 0.7296 0.0794
Cu1 0.7680 0.0761 0.3878
Cu2 0.2320 0.9239 0.6122
Sn1 0.8535 0.7472 0.5457
Sn2 0.1465 0.2528 0.4543
Sn3 0.1314 0.8132 0.9241
Sn4 0.8686 0.1868 0.0759
Sn5 0.9781 0.8083 0.2355
Sn6 0.0219 0.1917 0.7645
```

Summary:
The symmetry is No. 12.

***

Entry 6:
Below is an optimized crystal structure of Ho6Cu2Sn, with properties calculated at the PBE-GGA level.

The structure in CIF format:
```
data_Ho6Cu2Sn
_chemical_formula_sum 'Ho12 Cu4 Sn2'
_symmetry_space_group_name_H-M 'P 1'
_symmetry_Int_Tables_number 1
_cell_length_a 8.4862
_cell_length_b 8.4862
_cell_length_c 8.4862
_cell_angle_alpha 105.37
_cell_angle_beta 109.74
_cell_angle_gamma 113.41
loop_
_symmetry_equiv_pos_as_xyz
'x,y,z'
loop_
_atom_site_label
_atom_site_fract_x
_atom_site_fract_y
_atom_site_fract_z
Ho1 0.5292 0.7149 0.8143
Ho2 0.4708 0.2851 0.1857
Ho3 0.0994 0.2851 0.8143
Ho4 0.9006 0.7149 0.1857
Ho5 0.8006 0.7639 0.5645
Ho6 0.1994 0.2361 0.4355
Ho7 0.1994 0.7639 0.9633
Ho8 0.8006 0.2361 0.0367
Ho9 0.6922 0.3703 0.6782
Ho10 0.3078 0.6297 0.3218
Ho11 0.3078 0.9860 0.6782
Ho12 0.6922 0.0140 0.3218
Cu1 0.5000 0.3809 0.8809
Cu2 0.5000 0.6191 0.1191
Cu3 0.6510 0.0000 0.6510
Cu4 0.3490 0.0000 0.3490
Sn1 0.0000 0.5000 0.5000
Sn2 0.0000 0.0000 0.0000
```

Summary:
The symmetry is No. 71.

***

Entry 7:
Below is an optimized crystal structure of Ho4Cu2Sn, with properties calculated at the PBE-GGA level.

The structure in CIF format:
```
data_Ho4Cu2Sn
_chemical_formula_sum 'Ho8 Cu4 Sn2'
_symmetry_space_group_name_H-M 'P 1'
_symmetry_Int_Tables_number 1
_cell_length_a 8.6201
_cell_length_b 8.6202
_cell_length_c 6.8849
_cell_angle_alpha 107.99
_cell_angle_beta 107.99
_cell_angle_gamma 120.57
loop_
_symmetry_equiv_pos_as_xyz
'x,y,z'
loop_
_atom_site_label
_atom_site_fract_x
_atom_site_fract_y
_atom_site_fract_z
Ho1 0.9724 0.2753 0.4107
Ho2 0.3710 0.5465 0.2787
Ho3 0.8333 0.5928 0.5581
Ho4 0.7965 0.1210 0.7787
Ho5 0.4100 0.9997 0.2500
Ho6 0.2497 0.1600 0.7500
Ho7 0.5253 0.7224 0.9107
Ho8 0.8428 0.5833 0.0581
Cu1 0.4378 0.3586 0.5421
Cu2 0.7829 0.8545 0.3852
Cu3 0.6086 0.1878 0.0421
Cu4 0.1045 0.5329 0.8852
Sn1 0.2691 0.7962 0.5751
Sn2 0.0462 0.0191 0.0751
```

Summary:
The symmetry is No. 9.

***

Entry 8:
Below is an optimized crystal structure of Ho3Cu6Sn5, with properties calculated at the PBE-GGA level.

The structure in CIF format:
```
data_Ho3Cu6Sn5
_chemical_formula_sum 'Ho3 Cu6 Sn5'
_symmetry_space_group_name_H-M 'P 1'
_symmetry_Int_Tables_number 1
_cell_length_a 4.3219
_cell_length_b 8.3643
_cell_length_c 8.3643
_cell_angle_alpha 72.84
_cell_angle_beta 75.03
_cell_angle_gamma 75.03
loop_
_symmetry_equiv_pos_as_xyz
'x,y,z'
loop_
_atom_site_label
_atom_site_fract_x
_atom_site_fract_y
_atom_site_fract_z
Ho1 0.0000 0.0000 0.0000
Ho2 0.6898 0.3102 0.3102
Ho3 0.3102 0.6898 0.6898
Cu1 0.5000 0.6887 0.3113
Cu2 0.5000 0.3113 0.6887
Cu3 0.8732 0.4131 0.8406
Cu4 0.1268 0.5869 0.1594
Cu5 0.8732 0.8406 0.4131
Cu6 0.1268 0.1594 0.5869
Sn1 0.6636 0.6889 0.9840
Sn2 0.3364 0.3111 0.0160
Sn3 0.6636 0.9840 0.6889
Sn4 0.3364 0.0160 0.3111
Sn5 0.0000 0.5000 0.5000
```

Summary:
The symmetry is No. 71.

***

Entry 9:
Below is an optimized crystal structure of HoCu5Sn, with properties calculated at the PBE-GGA level.

The structure in CIF format:
```
data_HoCu5Sn
_chemical_formula_sum 'Ho4 Cu20 Sn4'
_symmetry_space_group_name_H-M 'P 1'
_symmetry_Int_Tables_number 1
_cell_length_a 4.9987
_cell_length_b 8.2295
_cell_length_c 10.5844
_cell_angle_alpha 90.00
_cell_angle_beta 90.00
_cell_angle_gamma 90.00
loop_
_symmetry_equiv_pos_as_xyz
'x,y,z'
loop_
_atom_site_label
_atom_site_fract_x
_atom_site_fract_y
_atom_site_fract_z
Ho1 0.2500 0.7499 0.0620
Ho2 0.7500 0.2501 0.9380
Ho3 0.7500 0.7501 0.5620
Ho4 0.2500 0.2499 0.4380
Cu1 0.2500 0.8158 0.7419
Cu2 0.7500 0.1842 0.2581
Cu3 0.7500 0.6842 0.2419
Cu4 0.2500 0.3158 0.7581
Cu5 0.5012 0.5685 0.8124
Cu6 0.4988 0.4315 0.1876
Cu7 0.4988 0.9315 0.3124
Cu8 0.0012 0.4315 0.1876
Cu9 0.5012 0.0685 0.6876
Cu10 0.9988 0.5685 0.8124
Cu11 0.9988 0.0685 0.6876
Cu12 0.0012 0.9315 0.3124
Cu13 0.2500 0.9157 0.5168
Cu14 0.7500 0.0843 0.4832
Cu15 0.7500 0.5843 0.0168
Cu16 0.2500 0.4157 0.9832
Cu17 0.2500 0.5582 0.6011
Cu18 0.7500 0.4418 0.3989
Cu19 0.7500 0.9418 0.1011
Cu20 0.2500 0.0582 0.8989
Sn1 0.2500 0.6383 0.3606
Sn2 0.7500 0.3617 0.6394
Sn3 0.7500 0.8617 0.8606
Sn4 0.2500 0.1383 0.1394
```

Summary:
The symmetry is No. 62.

***

Entry 10:
Below is an optimized crystal structure of Ho2CuSn3, with properties calculated at the PBE-GGA level.

The structure in CIF format:
```
data_Ho2CuSn3
_chemical_formula_sum 'Ho4 Cu2 Sn6'
_symmetry_space_group_name_H-M 'P 1'
_symmetry_Int_Tables_number 1
_cell_length_a 5.6968
_cell_length_b 7.8085
_cell_length_c 7.8085
_cell_angle_alpha 115.23
_cell_angle_beta 90.00
_cell_angle_gamma 90.00
loop_
_symmetry_equiv_pos_as_xyz
'x,y,z'
loop_
_atom_site_label
_atom_site_fract_x
_atom_site_fract_y
_atom_site_fract_z
Ho1 0.7500 0.4728 0.1957
Ho2 0.2500 0.5272 0.8043
Ho3 0.2500 0.8043 0.5272
Ho4 0.7500 0.1957 0.4728
Cu1 0.7500 0.0220 0.0220
Cu2 0.2500 0.9780 0.9780
Sn1 0.2500 0.3385 0.3385
Sn2 0.7500 0.6615 0.6615
Sn3 0.5000 0.1748 0.8252
Sn4 0.0000 0.1748 0.8252
Sn5 0.5000 0.8252 0.1748
Sn6 0.0000 0.8252 0.1748
```

Summary:
The symmetry is No. 63.

***

Entry 11:
Below is an optimized crystal structure of Ho6CuSn2, with properties calculated at the PBE-GGA level.

The structure in CIF format:
```
data_Ho6CuSn2
_chemical_formula_sum 'Ho6 Cu1 Sn2'
_symmetry_space_group_name_H-M 'P 1'
_symmetry_Int_Tables_number 1
_cell_length_a 3.8738
_cell_length_b 8.5245
_cell_length_c 8.5249
_cell_angle_alpha 120.00
_cell_angle_beta 90.00
_cell_angle_gamma 90.00
loop_
_symmetry_equiv_pos_as_xyz
'x,y,z'
loop_
_atom_site_label
_atom_site_fract_x
_atom_site_fract_y
_atom_site_fract_z
Ho1 0.5000 0.5993 0.0000
Ho2 0.5000 0.4007 0.4007
Ho3 0.5000 0.0000 0.5993
Ho4 0.0000 0.2469 0.0000
Ho5 0.0000 0.7530 0.7530
Ho6 0.0000 0.0000 0.2470
Cu1 0.5000 0.0000 0.0000
Sn1 0.0000 0.3333 0.6667
Sn2 0.0000 0.6667 0.3333
```

Summary:
The symmetry is No. 189.

***

Entry 12:
Below is an optimized crystal structure of Ho7Cu2Sn2, with properties calculated at the PBE-GGA level.

The structure in CIF format:
```
data_Ho7Cu2Sn2
_chemical_formula_sum 'Ho7 Cu2 Sn2'
_symmetry_space_group_name_H-M 'P 1'
_symmetry_Int_Tables_number 1
_cell_length_a 6.8640
_cell_length_b 6.8775
_cell_length_c 6.8640
_cell_angle_alpha 90.00
_cell_angle_beta 107.90
_cell_angle_gamma 90.00
loop_
_symmetry_equiv_pos_as_xyz
'x,y,z'
loop_
_atom_site_label
_atom_site_fract_x
_atom_site_fract_y
_atom_site_fract_z
Ho1 0.9998 0.2542 0.5003
Ho2 0.5003 0.7458 0.9998
Ho3 0.0002 0.7458 0.4997
Ho4 0.4997 0.2542 0.0002
Ho5 0.0000 0.0000 0.0000
Ho6 0.5002 0.7632 0.4998
Ho7 0.4998 0.2368 0.5002
Cu1 0.7090 0.0000 0.2910
Cu2 0.2910 0.0000 0.7090
Sn1 0.8203 0.5000 0.8203
Sn2 0.1797 0.5000 0.1797
```

Summary:
The symmetry is No. 65.

***

How do the records compare in VASP energy? In the order shown, they have -20.26 -15.73 -15.76 -50.30 -34.24 -42.36 -32.69 -63.69 -30.88 -26.51 -43.27 -50.05 eV per formula unit.
How do the records compare in D(E_F)? In the order shown, they have 4.5 2.3 3.5 16.3 7.6 13.7 12.5 3.8 6.1 9.8 10.6 9.6 states/eV per cell.
How do the records compare in total magnetic moment? In the order shown, they have 0.00 0.00 0.00 0.10 0.00 0.00 0.00 0.00 0.00 0.00 0.27 0.00 μB per atom.